Model 1:
DFT (GGA-PBEsol) results for AlMo2Br after structural relaxation.

Values from the calculation:
Its magnetization is 0.00 μB/atom.

Lattice parameters (Å, degrees): 3.184 4.981 8.596 90.00 90.00 90.00
Space group Cmm2 (No. 35)
Symmetry-distinct sites (fractional):
Al (0.000, 0.000, 0.000) x2
Mo (0.000, 0.000, 0.530) x2
Mo (0.000, 0.500, 0.757) x2
Br (0.000, 0.500, 0.264) x2


Model 2:
DFT (GGA-PBEsol) results for AlMo2Br after structural relaxation.

Values from the calculation:
Its magnetization is 0.00 μB/atom.

Lattice parameters (Å, degrees): 6.265 6.265 6.265 90.00 90.00 90.00
Space group Fm-3m (No. 225)
Symmetry-distinct sites (fractional):
Al (0.000, 0.000, 0.000) x4
Mo (0.250, 0.250, 0.250) x8
Br (0.000, 0.000, 0.500) x4


Q: Which of them is the least stable? A: model 2.


Model 1:
DFT (GGA-PBEsol) results for Al2MoBr after structural relaxation.

Values from the calculation:
Its magnetization is 0.16 μB/atom.

Lattice parameters (Å, degrees): 6.439 6.439 6.439 90.00 90.00 90.00
Space group F-43m (No. 216)
Symmetry-distinct sites (fractional):
Al (0.000, 0.000, 0.000) x4
Al (0.250, 0.250, 0.250) x4
Mo (0.000, 0.000, 0.500) x4
Br (0.250, 0.250, 0.750) x4


Model 2:
DFT (GGA-PBEsol) results for Al2MoBr after structural relaxation.

Values from the calculation:
Its magnetization is 0.21 μB/atom.

Lattice parameters (Å, degrees): 4.043 4.043 8.282 90.00 90.00 90.00
Space group I-4m2 (No. 119)
Symmetry-distinct sites (fractional):
Al (0.000, 0.000, 0.000) x2
Al (0.000, 0.500, 0.250) x2
Mo (0.000, 0.500, 0.750) x2
Br (0.000, 0.000, 0.500) x2


Model 3:
DFT (GGA-PBEsol) results for Al2MoBr after structural relaxation.

Values from the calculation:
Its magnetization is 0.00 μB/atom.

Lattice parameters (Å, degrees): 3.034 3.034 7.804 90.00 90.00 90.00
Space group P4mm (No. 99)
Symmetry-distinct sites (fractional):
Al (0.000, 0.000, 0.000) x1
Al (0.500, 0.500, 0.230) x1
Mo (0.500, 0.500, 0.788) x1
Br (0.000, 0.000, 0.582) x1


Q: Which of them is the least stable? A: model 1.


Model 1:
DFT (GGA-PBEsol) results for AlBrN2 after structural relaxation.

Values from the calculation:
Its magnetization is 0.00 μB/atom.

Lattice parameters (Å, degrees): 5.263 5.263 7.601 90.00 90.00 90.00
Space group I-42d (No. 122)
Symmetry-distinct sites (fractional):
Al (0.000, 0.000, 0.000) x4
Br (0.000, 0.000, 0.500) x4
N (0.179, 0.250, 0.125) x8


Model 2:
DFT (GGA-PBEsol) results for AlBrN2 after structural relaxation.

Values from the calculation:
Its magnetization is 0.00 μB/atom.

Lattice parameters (Å, degrees): 3.2388 3.2388 18.0418 90.00 90.00 120.00
Space group R-3m (No. 166, hexagonal axes)
Symmetry-distinct sites (fractional):
Al (0.0000, 0.0000, 0.0000) x3
Br (0.0000, 0.0000, 0.5000) x3
N (0.0000, 0.0000, 0.1045) x6


Q: Which of them is the least stable? A: model 2.


Model 1:
DFT (GGA-PBEsol) results for AlOsBr2 after structural relaxation.

Values from the calculation:
Its magnetization is 0.00 μB/atom.

Lattice parameters (Å, degrees): 3.075 4.102 14.210 90.00 90.00 90.00
Space group Immm (No. 71)
Symmetry-distinct sites (fractional):
Al (0.000, 0.000, 0.000) x2
Os (0.000, 0.000, 0.500) x2
Br (0.000, 0.500, 0.150) x4


Model 2:
DFT (GGA-PBEsol) results for AlOsBr2 after structural relaxation.

Values from the calculation:
Its magnetization is 0.02 μB/atom.

Lattice parameters (Å, degrees): 6.529 6.529 6.529 90.00 90.00 90.00
Space group Fm-3m (No. 225)
Symmetry-distinct sites (fractional):
Al (0.000, 0.000, 0.000) x4
Os (0.000, 0.000, 0.500) x4
Br (0.250, 0.250, 0.250) x8


Q: Which of them is the least stable? A: model 2.


Model 1:
DFT (GGA-PBEsol) results for AlPBr2 after structural relaxation.

Values from the calculation:
Its magnetization is 0.00 μB/atom.

Lattice parameters (Å, degrees): 4.910 4.910 3.453 90.00 90.00 90.00
Space group P4/mmm (No. 123)
Symmetry-distinct sites (fractional):
Al (0.000, 0.000, 0.000) x1
P (0.500, 0.500, 0.000) x1
Br (0.000, 0.500, 0.500) x2


Model 2:
DFT (GGA-PBEsol) results for AlPBr2 after structural relaxation.

Values from the calculation:
Its magnetization is 0.00 μB/atom.

Lattice parameters (Å, degrees): 5.408 5.408 6.252 90.00 90.00 90.00
Space group I4/mmm (No. 139)
Symmetry-distinct sites (fractional):
Al (0.000, 0.000, 0.000) x2
P (0.000, 0.000, 0.500) x2
Br (0.000, 0.500, 0.000) x4


Q: Which of them is the least stable? A: model 1.


Model 1:
DFT (GGA-PBEsol) results for AlP2Br after structural relaxation.

Values from the calculation:
Its magnetization is 0.00 μB/atom.

Lattice parameters (Å, degrees): 5.266 5.266 5.235 90.00 90.00 90.00
Space group I4/mmm (No. 139)
Symmetry-distinct sites (fractional):
Al (0.000, 0.000, 0.000) x2
P (0.000, 0.500, 0.000) x4
Br (0.000, 0.000, 0.500) x2


Model 2:
DFT (GGA-PBEsol) results for AlP2Br after structural relaxation.

Values from the calculation:
Its magnetization is 0.00 μB/atom.

Lattice parameters (Å, degrees): 4.775 4.775 2.990 90.00 90.00 90.00
Space group P4/mmm (No. 123)
Symmetry-distinct sites (fractional):
Al (0.000, 0.000, 0.000) x1
P (0.000, 0.500, 0.500) x2
Br (0.500, 0.500, 0.000) x1


Q: Which of them is the least stable? A: model 2.


Model 1:
DFT (GGA-PBEsol) results for Al2ReBr after structural relaxation.

Values from the calculation:
Its magnetization is 0.01 μB/atom.

Lattice parameters (Å, degrees): 3.993 3.993 7.997 90.00 90.00 90.00
Space group I4/mmm (No. 139)
Symmetry-distinct sites (fractional):
Al (0.000, 0.500, 0.250) x4
Re (0.000, 0.000, 0.000) x2
Br (0.000, 0.000, 0.500) x2


Model 2:
DFT (GGA-PBEsol) results for Al2ReBr after structural relaxation.

Values from the calculation:
Its magnetization is 0.00 μB/atom.

Lattice parameters (Å, degrees): 3.022 3.022 7.569 90.00 90.00 90.00
Space group P4mm (No. 99)
Symmetry-distinct sites (fractional):
Al (0.000, 0.000, 0.000) x1
Al (0.500, 0.500, 0.235) x1
Re (0.500, 0.500, 0.801) x1
Br (0.000, 0.000, 0.575) x1


Q: Which of them is the least stable? A: model 1.


Model 1:
DFT (GGA-PBEsol) results for AlReBr2 after structural relaxation.

Values from the calculation:
Its magnetization is 0.00 μB/atom.

Lattice parameters (Å, degrees): 3.011 5.631 9.376 90.00 90.00 90.00
Space group Cmmm (No. 65)
Symmetry-distinct sites (fractional):
Al (0.000, 0.000, 0.000) x2
Re (0.000, 0.000, 0.500) x2
Br (0.000, 0.500, 0.283) x4


Model 2:
DFT (GGA-PBEsol) results for AlReBr2 after structural relaxation.

Values from the calculation:
Its magnetization is 0.00 μB/atom.

Lattice parameters (Å, degrees): 8.656 8.656 5.009 90.00 90.00 90.00
Space group I-42d (No. 122)
Symmetry-distinct sites (fractional):
Al (0.000, 0.000, 0.000) x4
Re (0.000, 0.000, 0.500) x4
Br (0.123, 0.250, 0.625) x8


Q: Which of them is the least stable? A: model 1.